Record 1
VASP calculation (GGA-PBE) on crystalline Pm3Y2Er6 at its relaxed geometry.

Cell lengths 6.150, 7.967, 16.370 Å; angles 50.43, 63.74, 104.75 degrees
Positions (direct):
Er 0.091 0.544 0.364
Er 0.269 0.635 0.093
Er 0.364 0.180 0.455
Er 0.731 0.365 0.907
Er 0.636 0.820 0.545
Er 0.909 0.456 0.636
Y 0.543 0.271 0.183
Y 0.457 0.729 0.817
Pm 0.000 0.000 0.000
Pm 0.815 0.905 0.274
Pm 0.185 0.095 0.726

Results
Offset from the most stable computed form, eV per formula unit: 0.00
Energy, eV for the cell shown: -54.34
SG: P-1
Magnetization, μB/cell: 0.0
ΔE_f, meV/atom: 20

***

Record 2
VASP calculation (GGA-PBE) on crystalline Pm3Y3Er at its relaxed geometry.

Cell lengths 5.762, 9.656, 9.656 Å; angles 120.00, 90.00, 90.00 degrees
Positions (direct):
Y 0.750 0.618 0.523
Y 0.250 0.523 0.905
Y 0.750 0.477 0.095
Y 0.750 0.905 0.382
Y 0.250 0.095 0.618
Y 0.250 0.382 0.477
Pm 0.250 0.808 0.759
Pm 0.750 0.049 0.808
Pm 0.750 0.759 0.951
Pm 0.250 0.951 0.192
Pm 0.250 0.241 0.049
Pm 0.750 0.192 0.241
Er 0.750 0.333 0.667
Er 0.250 0.667 0.333

Results
Offset from the most stable computed form, eV per formula unit: 0.00
Energy, eV for the cell shown: -76.19
SG: P6_3/m
Magnetization, μB/cell: 0.0
ΔE_f, meV/atom: 16

***

Record 3
VASP calculation (GGA-PBE) on crystalline Pm3YEr4 at its relaxed geometry.

Cell lengths 3.483, 6.703, 11.884 Å; angles 106.44, 98.43, 90.00 degrees
Positions (direct):
Pm 0.127 0.880 0.255
Pm 0.873 0.120 0.745
Pm 0.000 0.500 0.000
Er 0.125 0.365 0.251
Er 0.260 0.751 0.520
Er 0.740 0.249 0.480
Er 0.875 0.635 0.749
Y 0.500 0.000 0.000

Results
Offset from the most stable computed form, eV per formula unit: 1.13
Energy, eV for the cell shown: -37.70
SG: C2/m
Magnetization, μB/cell: 0.0
ΔE_f, meV/atom: 159